Model A:
Here is a relaxed structure of TiMnIn2C from Alexandria via LeMat-Bulk. Energies are from GGA-PBE.

Cell and atoms, written as POSCAR:
```
TiMnIn2C
1.0
-2.737 3.190 -1.743
-2.228 -2.889 -1.789
-2.644 -0.249 3.695
Ti In Mn C
1 2 1 1
Direct
0.000 0.500 0.000
0.500 0.000 0.000
0.000 0.000 0.500
0.500 0.500 0.500
0.000 0.000 0.000
```

Calculated values
Volume = 16.82 Å³/atom
Size of the total moment = 0.15 μB/f.u.

Model B:
Here is a relaxed structure of TiMnIn2C from Alexandria via LeMat-Bulk. Energies are from GGA-PBE.

Cell and atoms, written as POSCAR:
```
TiMnIn2C
1.0
5.417 0.000 0.000
0.000 3.928 0.000
0.000 0.000 5.417
Mn In C Ti
1 2 1 1
Direct
0.500 0.500 0.500
0.000 0.000 0.500
0.500 0.000 0.000
0.000 0.500 0.000
0.000 0.000 0.000
```

Calculated values
Volume = 23.05 Å³/atom
Size of the total moment = 4.30 μB/f.u.

The relative energies come out as model A 0; model B 272, with values in meV/atom.